1.
{"formula": "Er2UTl2S6", "functional": "PBE", "state": "relaxed", "cell": [[3.449, -5.968, 0.000], [3.449, 5.968, 0.000], [-2.333, 0.000, 7.589]], "species": ["Er", "Er", "U", "Tl", "Tl", "S", "S", "S", "S", "S", "S"], "fractional_positions": [[0.166, 0.834, 0.000], [0.834, 0.166, 0.000], [0.500, 0.500, 0.000], [0.332, 0.668, 0.500], [0.668, 0.332, 0.500], [0.105, 0.437, 0.808], [0.237, 0.237, 0.193], [0.437, 0.105, 0.808], [0.563, 0.895, 0.192], [0.763, 0.763, 0.807], [0.895, 0.563, 0.192]], "raw_formation_energy_ev_per_atom": -1.455, "vol_a3_per_cell": 312.4, "dos_at_fermi_per_ev_cell": 6.6}

---

2.
{"formula": "LiSnS", "functional": "PBE", "state": "relaxed", "cell": [[-5.933, 5.933, 2.375], [5.933, -5.933, 2.375], [5.933, 5.933, -2.375]], "species": ["Li", "Li", "Li", "Li", "Sn", "Sn", "Sn", "Sn", "S", "S", "S", "S"], "fractional_positions": [[0.000, 0.376, 0.376], [0.000, 0.624, 0.624], [0.376, 0.000, 0.376], [0.624, 0.000, 0.624], [0.301, 0.301, 0.602], [0.301, 0.699, 0.000], [0.699, 0.301, 0.000], [0.699, 0.699, 0.398], [0.177, 0.500, 0.677], [0.500, 0.177, 0.677], [0.500, 0.823, 0.323], [0.823, 0.500, 0.323]], "raw_formation_energy_ev_per_atom": -0.583, "vol_a3_per_cell": 334.5, "polymorph_energy_kj_per_mol_atoms": 17.71, "dos_at_fermi_per_ev_cell": 0.0}

---

3.
{"formula": "AcMg2Cu3", "functional": "PBE", "state": "relaxed", "cell": [[5.365, -3.958, 0.000], [5.365, 3.958, 0.000], [0.000, 0.000, 5.810]], "species": ["Ac", "Ac", "Mg", "Mg", "Mg", "Mg", "Cu", "Cu", "Cu", "Cu", "Cu", "Cu"], "fractional_positions": [[0.180, 0.820, 0.750], [0.820, 0.180, 0.250], [0.291, 0.291, 0.000], [0.291, 0.291, 0.500], [0.709, 0.709, 0.000], [0.709, 0.709, 0.500], [0.056, 0.660, 0.250], [0.340, 0.944, 0.250], [0.435, 0.565, 0.250], [0.565, 0.435, 0.750], [0.660, 0.056, 0.750], [0.944, 0.340, 0.750]], "vol_a3_per_cell": 246.7, "dos_at_fermi_per_ev_cell": 4.4}

---

4.
{"formula": "MgTaCu", "functional": "PBE", "state": "relaxed", "cell": [[6.186, 0.000, 0.000], [0.000, 6.186, 0.000], [0.000, 0.000, 6.186]], "species": ["Mg", "Mg", "Mg", "Mg", "Ta", "Ta", "Ta", "Ta", "Cu", "Cu", "Cu", "Cu"], "fractional_positions": [[0.000, 0.000, 0.000], [0.000, 0.500, 0.500], [0.500, 0.000, 0.500], [0.500, 0.500, 0.000], [0.250, 0.250, 0.750], [0.250, 0.750, 0.250], [0.750, 0.250, 0.250], [0.750, 0.750, 0.750], [0.000, 0.000, 0.500], [0.000, 0.500, 0.000], [0.500, 0.000, 0.000], [0.500, 0.500, 0.500]], "vol_a3_per_cell": 236.7, "polymorph_energy_kj_per_mol_atoms": 104.59, "dos_at_fermi_per_ev_cell": 3.4}

---

5.
{"formula": "ErTm14Sc", "functional": "PBE", "state": "relaxed", "cell": [[6.945, 0.000, 0.000], [0.000, 6.945, 0.000], [0.000, 0.000, 9.809]], "species": ["Er", "Tm", "Tm", "Tm", "Tm", "Tm", "Tm", "Tm", "Tm", "Tm", "Tm", "Tm", "Tm", "Tm", "Tm", "Sc"], "fractional_positions": [[0.000, 0.000, 0.000], [0.000, 0.000, 0.500], [0.000, 0.500, 0.000], [0.000, 0.500, 0.500], [0.251, 0.251, 0.248], [0.251, 0.251, 0.752], [0.251, 0.749, 0.248], [0.251, 0.749, 0.752], [0.500, 0.000, 0.000], [0.500, 0.000, 0.500], [0.500, 0.500, 0.500], [0.749, 0.251, 0.248], [0.749, 0.251, 0.752], [0.749, 0.749, 0.248], [0.749, 0.749, 0.752], [0.500, 0.500, 0.000]], "vol_a3_per_cell": 473.1, "dos_at_fermi_per_ev_cell": 21.3}

---

6.
{"formula": "Rb2MoSe", "functional": "PBE", "state": "relaxed", "cell": [[13.159, 0.000, 0.000], [0.000, 13.159, 0.000], [0.000, 0.000, 4.879]], "species": ["Rb", "Rb", "Rb", "Rb", "Rb", "Rb", "Rb", "Rb", "Mo", "Mo", "Mo", "Mo", "Se", "Se", "Se", "Se"], "fractional_positions": [[0.066, 0.750, 0.125], [0.250, 0.066, 0.875], [0.250, 0.434, 0.375], [0.434, 0.750, 0.625], [0.566, 0.250, 0.625], [0.750, 0.566, 0.375], [0.750, 0.934, 0.875], [0.934, 0.250, 0.125], [0.000, 0.000, 0.500], [0.000, 0.500, 0.750], [0.500, 0.000, 0.250], [0.500, 0.500, 0.000], [0.000, 0.000, 0.000], [0.000, 0.500, 0.250], [0.500, 0.000, 0.750], [0.500, 0.500, 0.500]], "raw_formation_energy_ev_per_atom": 0.331, "vol_a3_per_cell": 844.8, "polymorph_energy_kj_per_mol_atoms": 0.00, "dos_at_fermi_per_ev_cell": 8.5}

---

7.
{"formula": "SrCrSb4", "functional": "PBE", "state": "relaxed", "cell": [[0.000, 4.473, 4.473], [4.473, 0.000, 4.473], [4.473, 4.473, 0.000]], "species": ["Sr", "Cr", "Sb", "Sb", "Sb", "Sb"], "fractional_positions": [[0.000, 0.000, 0.000], [0.750, 0.750, 0.750], [0.376, 0.376, 0.376], [0.376, 0.376, 0.872], [0.376, 0.872, 0.376], [0.872, 0.376, 0.376]], "raw_formation_energy_ev_per_atom": 0.146, "vol_a3_per_cell": 179.0, "dos_at_fermi_per_ev_cell": 3.5}

---

8.
{"formula": "CeTiZn2", "functional": "PBE", "state": "relaxed", "cell": [[6.863, 0.000, 0.000], [0.000, 6.863, 0.000], [0.000, 0.000, 6.863]], "species": ["Ce", "Ce", "Ce", "Ce", "Ti", "Ti", "Ti", "Ti", "Zn", "Zn", "Zn", "Zn", "Zn", "Zn", "Zn", "Zn"], "fractional_positions": [[0.000, 0.000, 0.000], [0.000, 0.500, 0.500], [0.500, 0.000, 0.500], [0.500, 0.500, 0.000], [0.000, 0.000, 0.500], [0.000, 0.500, 0.000], [0.500, 0.000, 0.000], [0.500, 0.500, 0.500], [0.250, 0.250, 0.250], [0.250, 0.250, 0.750], [0.250, 0.750, 0.250], [0.250, 0.750, 0.750], [0.750, 0.250, 0.250], [0.750, 0.250, 0.750], [0.750, 0.750, 0.250], [0.750, 0.750, 0.750]], "vol_a3_per_cell": 323.3, "polymorph_energy_kj_per_mol_atoms": 10.23, "dos_at_fermi_per_ev_cell": 29.8}

---

Total DFT energy (no corrections), respectively: -0.4404, -0.2889, -0.2485, -0.3441, -0.3354, -0.2743, -0.3297, -0.3061 Ry per atom.
Size of the total moment, respectively: 2.00, 0.00, 0.00, 0.00, 0.00, 14.61, 5.19, 10.19 Bohr magnetons per cell.